The following is a DFT calculation (PBE) of an optimized crystal structure of NbZnFePb.

Calculated values
Energy relative to the lowest polymorph listed for this composition ... 0.0 kJ/mol of atoms
SG ... F-43m
VASP energy ... -5.41 eV per atom
Size of the total moment ... 0.9 μB/cell

Lattice parameters (Å, degrees): 4.572 4.572 4.572 60.00 60.00 60.00
Sites, in units of the cell vectors:
1 Fe 0.750 0.750 0.750
2 Nb 0.500 0.500 0.500
3 Pb 0.000 0.000 0.000
4 Zn 0.250 0.250 0.250

***

The following is a DFT calculation (PBE) of an optimized crystal structure of AlCoNiW.

Calculated values
Energy relative to the lowest polymorph listed for this composition ... 0.0 kJ/mol of atoms
SG ... F-43m
VASP energy ... -7.51 eV per atom
Size of the total moment ... 0.0 μB/cell

Lattice parameters (Å, degrees): 4.158 4.158 4.158 60.00 60.00 60.00
Sites, in units of the cell vectors:
1 Al 0.000 0.000 0.000
2 Co 0.750 0.750 0.750
3 Ni 0.250 0.250 0.250
4 W 0.500 0.500 0.500

***

The following is a DFT calculation (PBE) of an optimized crystal structure of BaZn.

Calculated values
SG ... P-6m2
VASP energy ... -1.43 eV per atom

Lattice parameters (Å, degrees): 7.864 7.864 4.789 90.00 90.00 120.01
Sites, in units of the cell vectors:
1 Ba 0.000 0.000 0.000
2 Ba 0.370 0.185 0.500
3 Ba 0.815 0.185 0.500
4 Ba 0.815 0.630 0.500
5 Zn 0.448 0.552 0.000
6 Zn 0.104 0.552 0.000
7 Zn 0.448 0.896 0.000
8 Zn 0.333 0.667 0.500

***

The following is a DFT calculation (PBE) of an optimized crystal structure of BeZnO2.

Calculated values
SG ... P3m1
VASP energy ... -5.66 eV per atom

Lattice parameters (Å, degrees): 2.937 2.937 4.986 90.00 90.00 120.00
Sites, in units of the cell vectors:
1 Be 0.667 0.333 0.489
2 O 0.667 0.333 0.170
3 O 0.333 0.667 0.592
4 Zn 0.333 0.667 0.984

***

The following is a DFT calculation (PBE) of an optimized crystal structure of GdAgBiSb.

Calculated values
Energy relative to the lowest polymorph listed for this composition ... 0.0 kJ/mol of atoms
SG ... P4/nmm
VASP energy ... -4.49 eV per atom
Size of the total moment ... 0.0 μB/cell

Lattice parameters (Å, degrees): 4.467 4.467 10.372 90.00 90.00 90.00
Sites, in units of the cell vectors:
1 Ag 0.000 0.000 0.000
2 Ag 0.500 0.500 0.000
3 Bi 0.000 0.000 0.500
4 Bi 0.500 0.500 0.500
5 Gd 0.500 0.000 0.251
6 Gd 0.000 0.500 0.749
7 Sb 0.000 0.500 0.181
8 Sb 0.500 0.000 0.819

***

The following is a DFT calculation (PBE) of an optimized crystal structure of BeInCuTc.

Calculated values
Energy relative to the lowest polymorph listed for this composition ... 2.7 kJ/mol of atoms
SG ... F-43m
VASP energy ... -4.79 eV per atom
Size of the total moment ... 0.0 μB/cell

Lattice parameters (Å, degrees): 4.318 4.318 4.318 60.00 60.00 60.00
Sites, in units of the cell vectors:
1 Be 0.500 0.500 0.500
2 Cu 0.750 0.750 0.750
3 In 0.000 0.000 0.000
4 Tc 0.250 0.250 0.250

***

The following is a DFT calculation (PBE) of an optimized crystal structure of GdH9C8O8.

Calculated values
SG ... P-1
VASP energy ... -6.64 eV per atom
Size of the total moment ... 0.0 μB/cell

Lattice parameters (Å, degrees): 6.152 8.120 9.587 92.07 101.65 99.93
Sites, in units of the cell vectors:
1 C 0.114 0.932 0.181
2 C 0.338 0.692 0.186
3 C 0.593 0.476 0.188
4 C 0.314 0.854 0.235
5 C 0.546 0.639 0.237
6 C 0.723 0.745 0.330
7 C 0.490 0.951 0.335
8 C 0.694 0.899 0.384
9 C 0.306 0.101 0.616
10 C 0.510 0.049 0.665
11 C 0.277 0.255 0.670
12 C 0.454 0.361 0.763
13 C 0.686 0.146 0.765
14 C 0.407 0.524 0.812
15 C 0.662 0.308 0.814
16 C 0.886 0.068 0.819
17 Gd 0.036 0.312 0.111
18 Gd 0.964 0.688 0.889
19 H 0.558 0.186 0.108
20 H 0.664 0.015 0.109
21 H 0.885 0.703 0.357
22 H 0.464 0.072 0.373
23 H 0.618 0.316 0.401
24 H 0.880 0.347 0.420
25 H 0.222 0.291 0.424
26 H 0.207 0.488 0.433
27 H 0.829 0.981 0.459
28 H 0.171 0.019 0.541
29 H 0.793 0.512 0.567
30 H 0.778 0.709 0.576
31 H 0.120 0.653 0.580
32 H 0.382 0.684 0.599
33 H 0.536 0.928 0.627
34 H 0.115 0.297 0.643
35 H 0.336 0.985 0.891
36 H 0.442 0.814 0.892
37 O 0.678 0.131 0.082
38 O 0.949 0.857 0.084
39 O 0.178 0.595 0.091
40 O 0.433 0.349 0.145
41 O 0.798 0.465 0.199
42 O 0.117 0.079 0.235
43 O 0.154 0.377 0.373
44 O 0.756 0.338 0.474
45 O 0.244 0.662 0.526
46 O 0.846 0.623 0.627
47 O 0.883 0.921 0.765
48 O 0.202 0.535 0.801
49 O 0.567 0.651 0.855
50 O 0.822 0.405 0.909
51 O 0.051 0.143 0.916
52 O 0.322 0.869 0.918

***

The following is a DFT calculation (PBE) of an optimized crystal structure of LuZnPt.

Calculated values
SG ... F-43m
VASP energy ... -4.30 eV per atom
Size of the total moment ... 0.0 μB/cell
Energy relative to the elements ... -357 meV per atom

Lattice parameters (Å, degrees): 4.575 4.575 4.575 60.00 60.00 60.00
Sites, in units of the cell vectors:
1 Lu 0.000 0.000 0.000
2 Pt 0.250 0.250 0.250
3 Zn 0.750 0.750 0.750